Record 1
MgMnRh14 | PBE-GGA | relaxed

Values from the calculation:
- energy (eV/atom) = -7.18
- DOS at the Fermi energy (states/eV/atom) = 1.25
- calculated formation energy (eV/atom) = -0.079

Unit cell a=5.428 b=5.428 c=7.728 alpha=90.00 beta=90.00 gamma=90.00
Space group P4/mmm (No. 123)
Symmetry-distinct sites (fractional):
Mg1 0.000 0.000 0.000 (multiplicity 1)
Mn1 0.500 0.500 0.000 (multiplicity 1)
Rh1 0.000 0.000 0.500 (multiplicity 1)
Rh2 0.000 0.500 0.000 (multiplicity 2)
Rh3 0.000 0.500 0.500 (multiplicity 2)
Rh4 0.252 0.252 0.252 (multiplicity 8)
Rh5 0.500 0.500 0.500 (multiplicity 1)


Record 2
CaZnAu2 | PBE-GGA | relaxed

Values from the calculation:
- energy (eV/atom) = -2.96
- DOS at the Fermi energy (states/eV/atom) = 0.44
- calculated formation energy (eV/atom) = -0.506

Unit cell a=3.692 b=4.769 c=5.149 alpha=90.00 beta=90.00 gamma=90.00
Space group Pmm2 (No. 25)
Symmetry-distinct sites (fractional):
Ca1 0.000 0.000 0.000 (multiplicity 1)
Zn1 0.500 0.500 0.694 (multiplicity 1)
Au1 0.500 0.000 0.501 (multiplicity 1)
Au2 0.500 0.500 0.188 (multiplicity 1)


Record 3
Sc2Zn5Au | PBE-GGA | relaxed

Values from the calculation:
- energy (eV/atom) = -3.13
- DOS at the Fermi energy (states/eV/atom) = 0.54
- calculated formation energy (eV/atom) = -0.344

Unit cell a=3.749 b=16.442 c=9.120 alpha=90.00 beta=90.00 gamma=90.00
Space group Cmcm (No. 63)
Symmetry-distinct sites (fractional):
Sc1 0.000 0.000 0.000 (multiplicity 4)
Sc2 0.000 0.179 0.250 (multiplicity 4)
Zn1 0.000 0.210 0.602 (multiplicity 8)
Zn2 0.000 0.364 0.524 (multiplicity 8)
Zn3 0.000 0.381 0.250 (multiplicity 4)
Au1 0.000 0.462 0.750 (multiplicity 4)


Record 4
LiYZr | PBE-GGA | relaxed

Values from the calculation:
- energy (eV/atom) = -5.44
- energy relative to the lowest polymorph listed for this composition (meV per atom) = 130
- DOS at the Fermi energy (states/eV/atom) = 1.11
- calculated formation energy (eV/atom) = 0.197

Unit cell a=3.2958 b=3.2958 c=8.1588 alpha=90.00 beta=90.00 gamma=120.00
Space group P3m1 (No. 156)
Symmetry-distinct sites (fractional):
Li1 0.0000 0.0000 0.0000 (multiplicity 1)
Y1 0.6667 0.3333 0.3558 (multiplicity 1)
Zr1 0.3333 0.6667 0.6774 (multiplicity 1)


Record 5
Tl2CdHgH | PBE-GGA | relaxed

Values from the calculation:
- energy (eV/atom) = -1.69
- energy relative to the lowest polymorph listed for this composition (meV per atom) = 0
- DOS at the Fermi energy (states/eV/atom) = 0.14

Unit cell a=5.237 b=5.237 c=4.288 alpha=90.00 beta=90.00 gamma=90.00
Space group P4/mmm (No. 123)
Symmetry-distinct sites (fractional):
Tl1 0.000 0.500 0.000 (multiplicity 2)
Cd1 0.000 0.000 0.500 (multiplicity 1)
Hg1 0.500 0.500 0.500 (multiplicity 1)
H1 0.000 0.000 0.000 (multiplicity 1)


Record 6
Pm8Ho2Tm3 | PBE-GGA | relaxed

Values from the calculation:
- energy (eV/atom) = -4.58
- DOS at the Fermi energy (states/eV/atom) = 1.52
- calculated formation energy (eV/atom) = 0.084

Unit cell a=20.699 b=11.543 c=3.665 alpha=90.00 beta=100.19 gamma=90.00
Space group C2/m (No. 12)
Symmetry-distinct sites (fractional):
Pm1 0.076 0.000 0.076 (multiplicity 4)
Pm2 0.130 0.500 0.630 (multiplicity 4)
Pm3 0.169 0.249 0.169 (multiplicity 8)
Ho1 0.223 0.000 0.724 (multiplicity 4)
Tm1 0.000 0.239 0.500 (multiplicity 4)
Tm2 0.000 0.500 0.000 (multiplicity 2)


Record 7
La4ZrAs5 | PBE-GGA | relaxed

Values from the calculation:
- energy (eV/atom) = -6.59
- DOS at the Fermi energy (states/eV/atom) = 0.25
- calculated formation energy (eV/atom) = -1.444

Unit cell a=9.519 b=9.519 c=6.057 alpha=90.00 beta=90.00 gamma=90.00
Space group I4 (No. 79)
Symmetry-distinct sites (fractional):
La1 0.096 0.300 0.000 (multiplicity 8)
Zr1 0.000 0.000 0.495 (multiplicity 2)
As1 0.000 0.000 0.004 (multiplicity 2)
As2 0.095 0.282 0.500 (multiplicity 8)


Record 8
LaScIn | PBE-GGA | relaxed

Values from the calculation:
- energy (eV/atom) = -5.01
- energy relative to the lowest polymorph listed for this composition (meV per atom) = 0
- DOS at the Fermi energy (states/eV/atom) = 0.92
- calculated formation energy (eV/atom) = -0.346

Unit cell a=4.739 b=4.738 c=7.998 alpha=90.00 beta=90.18 gamma=90.00
Space group P2_1/m (No. 11)
Symmetry-distinct sites (fractional):
La1 0.249 0.250 0.154 (multiplicity 2)
Sc1 0.250 0.750 0.500 (multiplicity 2)
In1 0.251 0.250 0.736 (multiplicity 2)


Record 9
AsWCl2 | PBE-GGA | relaxed

Values from the calculation:
- E_form (uncorrected) (eV per atom) = -0.1807
- energy (eV/atom) = -5.50
- energy relative to the lowest polymorph listed for this composition (meV per atom) = 71
- DOS at the Fermi energy (states/eV/atom) = 0.40

Unit cell a=4.963 b=13.997 c=3.085 alpha=90.00 beta=90.00 gamma=90.00
Space group Cmmm (No. 65)
Symmetry-distinct sites (fractional):
As1 0.000 0.000 0.000 (multiplicity 2)
W1 0.000 0.500 0.000 (multiplicity 2)
Cl1 0.000 0.363 0.500 (multiplicity 4)


Record 10
Cs2TiCuBr6 | PBE-GGA | relaxed

Values from the calculation:
- E_form (uncorrected) (eV per atom) = -1.2216
- energy (eV/atom) = -3.60
- energy relative to the lowest polymorph listed for this composition (meV per atom) = 23
- DOS at the Fermi energy (states/eV/atom) = 1.36

Unit cell a=8.117 b=8.117 c=10.097 alpha=90.00 beta=90.00 gamma=90.00
Space group I4/mmm (No. 139)
Symmetry-distinct sites (fractional):
Cs1 0.000 0.500 0.250 (multiplicity 4)
Ti1 0.000 0.000 0.000 (multiplicity 2)
Cu1 0.000 0.000 0.500 (multiplicity 2)
Br1 0.000 0.000 0.269 (multiplicity 4)
Br2 0.225 0.225 0.000 (multiplicity 8)


Record 11
EuGa2Ir | PBE-GGA | relaxed

Values from the calculation:
- energy (eV/atom) = -6.69
- DOS at the Fermi energy (states/eV/atom) = 0.75
- calculated formation energy (eV/atom) = -0.393

Unit cell a=3.216 b=3.216 c=7.337 alpha=90.00 beta=90.00 gamma=90.00
Space group P4/mmm (No. 123)
Symmetry-distinct sites (fractional):
Eu1 0.000 0.000 0.000 (multiplicity 1)
Ga1 0.500 0.500 0.306 (multiplicity 2)
Ir1 0.000 0.000 0.500 (multiplicity 1)


Record 12
MgZrCd2 | PBE-GGA | relaxed

Values from the calculation:
- energy (eV/atom) = -3.02
- DOS at the Fermi energy (states/eV/atom) = 0.66
- calculated formation energy (eV/atom) = -0.025

Unit cell a=3.1182 b=3.1182 c=31.3343 alpha=90.00 beta=90.00 gamma=120.00
Space group R-3m (No. 166, hexagonal axes)
Symmetry-distinct sites (fractional):
Mg1 0.0000 0.0000 0.0000 (multiplicity 3)
Zr1 0.0000 0.0000 0.5000 (multiplicity 3)
Cd1 0.0000 0.0000 0.2513 (multiplicity 6)


Record 13
Rb2YCoBr6 | PBE-GGA | relaxed

Values from the calculation:
- E_form (uncorrected) (eV per atom) = -1.3767
- energy (eV/atom) = -3.93
- DOS at the Fermi energy (states/eV/atom) = 0.00

Unit cell a=7.706 b=7.706 c=10.888 alpha=90.00 beta=90.00 gamma=90.00
Space group I4/mmm (No. 139)
Symmetry-distinct sites (fractional):
Rb1 0.000 0.500 0.250 (multiplicity 4)
Y1 0.000 0.000 0.000 (multiplicity 2)
Co1 0.000 0.000 0.500 (multiplicity 2)
Br1 0.000 0.000 0.257 (multiplicity 4)
Br2 0.243 0.243 0.500 (multiplicity 8)


Record 14
Mg2NiHPt | PBE-GGA | relaxed

Values from the calculation:
- energy (eV/atom) = -4.02
- energy relative to the lowest polymorph listed for this composition (meV per atom) = 135
- DOS at the Fermi energy (states/eV/atom) = 0.24

Unit cell a=4.211 b=4.211 c=3.627 alpha=90.00 beta=90.00 gamma=90.00
Space group P4/mmm (No. 123)
Symmetry-distinct sites (fractional):
Mg1 0.000 0.500 0.000 (multiplicity 2)
Ni1 0.000 0.000 0.500 (multiplicity 1)
H1 0.500 0.500 0.000 (multiplicity 1)
Pt1 0.500 0.500 0.500 (multiplicity 1)


Record 15
LaPr4Pd2 | PBE-GGA | relaxed

Values from the calculation:
- energy (eV/atom) = -5.21
- DOS at the Fermi energy (states/eV/atom) = 1.12
- calculated formation energy (eV/atom) = -0.294

Unit cell a=8.179 b=6.733 c=8.188 alpha=90.00 beta=109.49 gamma=90.00
Space group P2_1/m (No. 11)
Symmetry-distinct sites (fractional):
La1 0.142 0.250 0.358 (multiplicity 2)
Pr1 0.051 0.750 0.075 (multiplicity 2)
Pr2 0.301 0.000 0.801 (multiplicity 4)
Pr3 0.426 0.750 0.450 (multiplicity 2)
Pd1 0.066 0.750 0.434 (multiplicity 2)
Pd2 0.360 0.250 0.138 (multiplicity 2)


Record 16
K2NiW | PBE-GGA | relaxed

Values from the calculation:
- energy (eV/atom) = -4.04
- energy relative to the lowest polymorph listed for this composition (meV per atom) = 356
- DOS at the Fermi energy (states/eV/atom) = 0.94
- calculated formation energy (eV/atom) = 1.195

Unit cell a=2.851 b=6.180 c=12.651 alpha=90.00 beta=90.00 gamma=90.00
Space group Imm2 (No. 44)
Symmetry-distinct sites (fractional):
K1 0.000 0.000 0.000 (multiplicity 2)
K2 0.000 0.500 0.199 (multiplicity 2)
Ni1 0.000 0.000 0.455 (multiplicity 2)
W1 0.000 0.500 0.806 (multiplicity 2)


Record 17
MgIrPt2 | PBE-GGA | relaxed

Values from the calculation:
- energy (eV/atom) = -5.86
- DOS at the Fermi energy (states/eV/atom) = 1.32
- calculated formation energy (eV/atom) = -0.222

Unit cell a=2.8186 b=2.8186 c=26.9316 alpha=90.00 beta=90.00 gamma=120.00
Space group R-3m (No. 166, hexagonal axes)
Symmetry-distinct sites (fractional):
Mg1 0.0000 0.0000 0.0000 (multiplicity 3)
Ir1 0.0000 0.0000 0.5000 (multiplicity 3)
Pt1 0.0000 0.0000 0.2516 (multiplicity 6)


Record 18
Cs2RbPdBr | PBE-GGA | relaxed

Values from the calculation:
- E_form (uncorrected) (eV per atom) = -0.5332
- energy (eV/atom) = -2.44
- DOS at the Fermi energy (states/eV/atom) = 0.02

Unit cell a=6.662 b=6.662 c=6.374 alpha=90.00 beta=90.00 gamma=90.00
Space group P4/mmm (No. 123)
Symmetry-distinct sites (fractional):
Cs1 0.000 0.500 0.000 (multiplicity 2)
Rb1 0.000 0.000 0.500 (multiplicity 1)
Pd1 0.000 0.000 0.000 (multiplicity 1)
Br1 0.500 0.500 0.500 (multiplicity 1)


Record 19
Dy3Cd2Hg | PBE-GGA | relaxed

Values from the calculation:
- energy (eV/atom) = -3.03
- DOS at the Fermi energy (states/eV/atom) = 1.07
- calculated formation energy (eV/atom) = -0.373

Unit cell a=3.740 b=3.740 c=11.185 alpha=90.00 beta=90.00 gamma=90.00
Space group P4/mmm (No. 123)
Symmetry-distinct sites (fractional):
Dy1 0.000 0.000 0.000 (multiplicity 1)
Dy2 0.000 0.000 0.336 (multiplicity 2)
Cd1 0.500 0.500 0.166 (multiplicity 2)
Hg1 0.500 0.500 0.500 (multiplicity 1)


Record 20
Ti2PtF | PBE-GGA | relaxed

Values from the calculation:
- E_form (uncorrected) (eV per atom) = -0.9562
- energy (eV/atom) = -6.88
- energy relative to the lowest polymorph listed for this composition (meV per atom) = 0
- DOS at the Fermi energy (states/eV/atom) = 0.83

Unit cell a=4.820 b=4.820 c=11.856 alpha=90.00 beta=90.00 gamma=90.00
Space group I-42d (No. 122)
Symmetry-distinct sites (fractional):
Ti1 0.173 0.250 0.125 (multiplicity 8)
Pt1 0.000 0.000 0.500 (multiplicity 4)
F1 0.000 0.000 0.000 (multiplicity 4)